1.
## CaSb2W (GGA-PBEsol)

Data for CaSb2W after structural relaxation.

M_tot: 0.0 μB/f.u.
Relative energy among the computed polymorphs: 310 meV per atom
Mass density: 9.1 g/cm³
Formation energy without anion corrections: 0.32 eV/atom
DOS(E_F): 0.996 states/eV per atom

a b c (Å): 4.8580 4.8580 3.6095
angles (deg): 90.00 90.00 90.00
Space group P4/mmm (No. 123)
Inequivalent atoms, fractional coordinates:
1 Ca 0.0000 0.0000 0.0000
2 Sb 0.0000 0.5000 0.5000
3 W 0.5000 0.5000 0.0000

---

2.
## CaSb2W (GGA-PBEsol)

Data for CaSb2W after structural relaxation.

M_tot: 0.0 μB/f.u.
Relative energy among the computed polymorphs: 0 meV per atom
Mass density: 8.0 g/cm³
Formation energy without anion corrections: 0.01 eV/atom
DOS(E_F): 0.059 states/eV per atom

a b c (Å): 3.8556 3.8556 22.6905
angles (deg): 90.00 90.00 120.00
Space group R-3m (No. 166, hexagonal axes)
Inequivalent atoms, fractional coordinates:
1 Ca 0.0000 0.0000 0.0000
2 Sb 0.0000 0.0000 0.2375
3 W 0.0000 0.0000 0.5000

---

3.
## CaSbW (GGA-PBEsol)

Data for CaSbW after structural relaxation.

M_tot: 0.0 μB/f.u.
Mass density: 8.6 g/cm³
Formation energy without anion corrections: 0.28 eV/atom
DOS(E_F): 0.711 states/eV per atom

a b c (Å): 3.4845 3.4845 11.0305
angles (deg): 90.00 90.00 90.00
Space group I4mm (No. 107)
Inequivalent atoms, fractional coordinates:
1 Ca 0.0000 0.0000 0.0000
2 Sb 0.0000 0.0000 0.7031
3 W 0.0000 0.0000 0.3104